1.
Here is a geometry-optimized Be2TeAu structure from the Alexandria database. Energies are from PBE.

Cell and atoms, written as CIF:
```
data_Be2TeAu
_chemical_formula_sum 'Be2 Te1 Au1'
_symmetry_space_group_name_H-M 'P 1'
_symmetry_Int_Tables_number 1
_cell_length_a 6.380
_cell_length_b 6.380
_cell_length_c 6.380
_cell_angle_alpha 151.63
_cell_angle_beta 146.51
_cell_angle_gamma 44.44
loop_
_symmetry_equiv_pos_as_xyz
'x,y,z'
loop_
_atom_site_label
_atom_site_type_symbol
_atom_site_fract_x
_atom_site_fract_y
_atom_site_fract_z
Be1 Be 0.000 0.000 0.000
Be2 Be 0.828 0.328 0.500
Te1 Te 0.201 0.701 0.500
Au1 Au 0.464 0.464 0.000
```

Output
Its calculated volume is 16.97 A^3/atom. As for the uncorrected formation energy: 261 meV/atom. The calculation puts the calculated total energy at -3.207 eV per atom.

***

2.
Here is a geometry-optimized Be2TeAu structure from the Alexandria database. Energies are from PBE.

Cell and atoms, written as CIF:
```
data_Be2TeAu
_chemical_formula_sum 'Be2 Te1 Au1'
_symmetry_space_group_name_H-M 'P 1'
_symmetry_Int_Tables_number 1
_cell_length_a 4.919
_cell_length_b 4.919
_cell_length_c 4.919
_cell_angle_alpha 131.72
_cell_angle_beta 105.24
_cell_angle_gamma 94.11
loop_
_symmetry_equiv_pos_as_xyz
'x,y,z'
loop_
_atom_site_label
_atom_site_type_symbol
_atom_site_fract_x
_atom_site_fract_y
_atom_site_fract_z
Be1 Be 0.192 0.000 0.192
Be2 Be 0.808 0.000 0.808
Te1 Te 0.500 0.500 0.000
Au1 Au 0.000 0.500 0.500
```

Output
Its calculated volume is 20.13 A^3/atom. As for the uncorrected formation energy: 359 meV/atom. The calculation puts the calculated total energy at -3.109 eV per atom.

***

3.
Here is a geometry-optimized BeTe2Au structure from the Alexandria database. Energies are from PBE.

Cell and atoms, written as CIF:
```
data_BeTe2Au
_chemical_formula_sum 'Be1 Te2 Au1'
_symmetry_space_group_name_H-M 'P 1'
_symmetry_Int_Tables_number 1
_cell_length_a 3.800
_cell_length_b 3.846
_cell_length_c 7.518
_cell_angle_alpha 90.00
_cell_angle_beta 90.00
_cell_angle_gamma 90.00
loop_
_symmetry_equiv_pos_as_xyz
'x,y,z'
loop_
_atom_site_label
_atom_site_type_symbol
_atom_site_fract_x
_atom_site_fract_y
_atom_site_fract_z
Be1 Be 0.000 0.000 0.000
Te1 Te 0.500 0.000 0.500
Te2 Te 0.500 0.500 0.000
Au1 Au 0.000 0.500 0.500
```

Output
Its calculated volume is 27.47 A^3/atom. As for the uncorrected formation energy: 387 meV/atom. The calculation puts the calculated total energy at -2.935 eV per atom.

***

4.
Here is a geometry-optimized BeTeAu2 structure from the Alexandria database. Energies are from PBE.

Cell and atoms, written as CIF:
```
data_BeTeAu2
_chemical_formula_sum 'Be1 Te1 Au2'
_symmetry_space_group_name_H-M 'P 1'
_symmetry_Int_Tables_number 1
_cell_length_a 3.046
_cell_length_b 3.714
_cell_length_c 6.846
_cell_angle_alpha 90.00
_cell_angle_beta 90.00
_cell_angle_gamma 90.00
loop_
_symmetry_equiv_pos_as_xyz
'x,y,z'
loop_
_atom_site_label
_atom_site_type_symbol
_atom_site_fract_x
_atom_site_fract_y
_atom_site_fract_z
Be1 Be 0.000 0.000 0.000
Te1 Te 0.500 0.500 0.339
Au1 Au 0.000 0.000 0.657
Au2 Au 0.500 0.500 0.918
```

Output
Its calculated volume is 19.36 A^3/atom. As for the uncorrected formation energy: 186 meV/atom. As for the offset from the most stable computed form: 160.4 meV/atom. The calculation puts the calculated total energy at -3.169 eV per atom.

***

5.
Here is a geometry-optimized BeTeAu2 structure from the Alexandria database. Energies are from PBE.

Cell and atoms, written as CIF:
```
data_BeTeAu2
_chemical_formula_sum 'Be1 Te1 Au2'
_symmetry_space_group_name_H-M 'P 1'
_symmetry_Int_Tables_number 1
_cell_length_a 9.402
_cell_length_b 9.402
_cell_length_c 9.402
_cell_angle_alpha 19.08
_cell_angle_beta 19.08
_cell_angle_gamma 19.08
loop_
_symmetry_equiv_pos_as_xyz
'x,y,z'
loop_
_atom_site_label
_atom_site_type_symbol
_atom_site_fract_x
_atom_site_fract_y
_atom_site_fract_z
Be1 Be 0.000 0.000 0.000
Te1 Te 0.500 0.500 0.500
Au1 Au 0.276 0.276 0.276
Au2 Au 0.724 0.724 0.724
```

Output
Its calculated volume is 19.41 A^3/atom. As for the uncorrected formation energy: 115 meV/atom. As for the offset from the most stable computed form: 89.2 meV/atom. The calculation puts the calculated total energy at -3.240 eV per atom.

***

6.
Here is a geometry-optimized BeTe2Au structure from the Alexandria database. Energies are from PBE.

Cell and atoms, written as CIF:
```
data_BeTe2Au
_chemical_formula_sum 'Be1 Te2 Au1'
_symmetry_space_group_name_H-M 'P 1'
_symmetry_Int_Tables_number 1
_cell_length_a 4.229
_cell_length_b 4.229
_cell_length_c 6.795
_cell_angle_alpha 106.80
_cell_angle_beta 106.80
_cell_angle_gamma 53.24
loop_
_symmetry_equiv_pos_as_xyz
'x,y,z'
loop_
_atom_site_label
_atom_site_type_symbol
_atom_site_fract_x
_atom_site_fract_y
_atom_site_fract_z
Be1 Be 0.000 0.000 0.000
Te1 Te 0.310 0.310 0.777
Te2 Te 0.690 0.690 0.223
Au1 Au 0.500 0.500 0.500
```

Output
Its calculated volume is 23.04 A^3/atom. As for the uncorrected formation energy: 54 meV/atom. The calculation puts the calculated total energy at -3.268 eV per atom.

***

7.
Here is a geometry-optimized BeTeAu2 structure from the Alexandria database. Energies are from PBE.

Cell and atoms, written as CIF:
```
data_BeTeAu2
_chemical_formula_sum 'Be1 Te1 Au2'
_symmetry_space_group_name_H-M 'P 1'
_symmetry_Int_Tables_number 1
_cell_length_a 2.934
_cell_length_b 2.934
_cell_length_c 9.094
_cell_angle_alpha 90.00
_cell_angle_beta 90.00
_cell_angle_gamma 90.00
loop_
_symmetry_equiv_pos_as_xyz
'x,y,z'
loop_
_atom_site_label
_atom_site_type_symbol
_atom_site_fract_x
_atom_site_fract_y
_atom_site_fract_z
Be1 Be 0.000 0.000 0.000
Te1 Te 0.000 0.000 0.500
Au1 Au 0.500 0.500 0.164
Au2 Au 0.500 0.500 0.836
```

Output
Its calculated volume is 19.58 A^3/atom. As for the uncorrected formation energy: 89 meV/atom. As for the offset from the most stable computed form: 62.9 meV/atom. The calculation puts the calculated total energy at -3.267 eV per atom.

***

8.
Here is a geometry-optimized BeTe2Au structure from the Alexandria database. Energies are from PBE.

Cell and atoms, written as CIF:
```
data_BeTe2Au
_chemical_formula_sum 'Be1 Te2 Au1'
_symmetry_space_group_name_H-M 'P 1'
_symmetry_Int_Tables_number 1
_cell_length_a 8.384
_cell_length_b 8.384
_cell_length_c 8.384
_cell_angle_alpha 26.03
_cell_angle_beta 26.03
_cell_angle_gamma 26.03
loop_
_symmetry_equiv_pos_as_xyz
'x,y,z'
loop_
_atom_site_label
_atom_site_type_symbol
_atom_site_fract_x
_atom_site_fract_y
_atom_site_fract_z
Be1 Be 0.000 0.000 0.000
Te1 Te 0.393 0.393 0.393
Te2 Te 0.607 0.607 0.607
Au1 Au 0.500 0.500 0.500
```

Output
Its calculated volume is 24.99 A^3/atom. As for the uncorrected formation energy: 49 meV/atom. The calculation puts the calculated total energy at -3.273 eV per atom.

***

9.
Here is a geometry-optimized BeTe2Au structure from the Alexandria database. Energies are from PBE.

Cell and atoms, written as CIF:
```
data_BeTe2Au
_chemical_formula_sum 'Be1 Te2 Au1'
_symmetry_space_group_name_H-M 'P 1'
_symmetry_Int_Tables_number 1
_cell_length_a 4.058
_cell_length_b 4.058
_cell_length_c 8.158
_cell_angle_alpha 90.00
_cell_angle_beta 90.00
_cell_angle_gamma 120.47
loop_
_symmetry_equiv_pos_as_xyz
'x,y,z'
loop_
_atom_site_label
_atom_site_type_symbol
_atom_site_fract_x
_atom_site_fract_y
_atom_site_fract_z
Be1 Be 0.000 0.000 0.000
Te1 Te 0.000 0.000 0.630
Te2 Te 0.500 0.500 0.176
Au1 Au 0.500 0.500 0.847
```

Output
Its calculated volume is 28.95 A^3/atom. As for the uncorrected formation energy: 91 meV/atom. The calculation puts the calculated total energy at -3.231 eV per atom.

***

10.
Here is a geometry-optimized Be2TeAu structure from the Alexandria database. Energies are from PBE.

Cell and atoms, written as CIF:
```
data_Be2TeAu
_chemical_formula_sum 'Be2 Te1 Au1'
_symmetry_space_group_name_H-M 'P 1'
_symmetry_Int_Tables_number 1
_cell_length_a 3.415
_cell_length_b 3.604
_cell_length_c 5.753
_cell_angle_alpha 90.00
_cell_angle_beta 90.00
_cell_angle_gamma 90.00
loop_
_symmetry_equiv_pos_as_xyz
'x,y,z'
loop_
_atom_site_label
_atom_site_type_symbol
_atom_site_fract_x
_atom_site_fract_y
_atom_site_fract_z
Be1 Be 0.000 0.000 0.000
Be2 Be 0.000 0.500 0.500
Te1 Te 0.500 0.000 0.500
Au1 Au 0.500 0.500 0.000
```

Output
Its calculated volume is 17.70 A^3/atom. As for the uncorrected formation energy: 416 meV/atom. The calculation puts the calculated total energy at -3.051 eV per atom.

***

11.
Here is a geometry-optimized Be2TeAu structure from the Alexandria database. Energies are from PBE.

Cell and atoms, written as CIF:
```
data_Be2TeAu
_chemical_formula_sum 'Be4 Te2 Au2'
_symmetry_space_group_name_H-M 'P 1'
_symmetry_Int_Tables_number 1
_cell_length_a 6.518
_cell_length_b 6.518
_cell_length_c 6.518
_cell_angle_alpha 129.09
_cell_angle_beta 129.09
_cell_angle_gamma 74.87
loop_
_symmetry_equiv_pos_as_xyz
'x,y,z'
loop_
_atom_site_label
_atom_site_type_symbol
_atom_site_fract_x
_atom_site_fract_y
_atom_site_fract_z
Be1 Be 0.108 0.625 0.983
Be2 Be 0.375 0.358 0.483
Be3 Be 0.642 0.125 0.017
Be4 Be 0.875 0.892 0.517
Te1 Te 0.250 0.750 0.500
Te2 Te 0.500 0.500 0.000
Au1 Au 0.000 0.000 0.000
Au2 Au 0.750 0.250 0.500
```

Output
Its calculated volume is 20.31 A^3/atom. As for the uncorrected formation energy: 144 meV/atom. The calculation puts the calculated total energy at -3.324 eV per atom.

***

12.
Here is a geometry-optimized Be2TeAu structure from the Alexandria database. Energies are from PBE.

Cell and atoms, written as CIF:
```
data_Be2TeAu
_chemical_formula_sum 'Be2 Te1 Au1'
_symmetry_space_group_name_H-M 'P 1'
_symmetry_Int_Tables_number 1
_cell_length_a 4.216
_cell_length_b 4.216
_cell_length_c 5.830
_cell_angle_alpha 90.00
_cell_angle_beta 90.00
_cell_angle_gamma 123.60
loop_
_symmetry_equiv_pos_as_xyz
'x,y,z'
loop_
_atom_site_label
_atom_site_type_symbol
_atom_site_fract_x
_atom_site_fract_y
_atom_site_fract_z
Be1 Be 0.000 0.000 0.202
Be2 Be 0.000 0.000 0.798
Te1 Te 0.500 0.500 0.500
Au1 Au 0.500 0.500 0.000
```

Output
Its calculated volume is 21.58 A^3/atom. As for the uncorrected formation energy: 353 meV/atom. The calculation puts the calculated total energy at -3.115 eV per atom.